A geometry-optimized Co2Hg2S structure. Source: OQMD, functional GGA-PBE.

Cell: 6.3405 6.3405 6.6676 Å, 90.00 90.00 133.49°
With the nearest neighbours (Å) after each atom.
Element x y z (fractional)
Hg (0.1712, 0.8288, 0.9835)  3 Co 2.64-2.67
Hg (0.8288, 0.1712, 0.4835)  3 Co 2.64-2.67
Co (0.6020, 0.3980, 0.5405)  2 S 2.09-2.12
S (0.4655, 0.5345, 0.7500)  4 Co 2.09-2.12
Co (0.6020, 0.3980, 0.9595)  2 S 2.09-2.12
Co (0.3980, 0.6020, 0.4595)  2 S 2.09-2.12
Hg (0.1712, 0.8288, 0.5165)  3 Co 2.64-2.67
S (0.5345, 0.4655, 0.2500)  4 Co 2.09-2.12
Hg (0.8288, 0.1712, 0.0165)  3 Co 2.64-2.67
Co (0.3980, 0.6020, 0.0405)  2 S 2.09-2.12

Computed properties:
E_tot   -36.3 eV per cell
ρ   9.41 g cm⁻³